Na2SmPaBi4 | PBE | relaxed

Structure (CIF):
```
data_Na2SmPaBi4
_cell_length_a 7.467
_cell_length_b 4.746
_cell_length_c 8.228
_cell_angle_alpha 90.00
_cell_angle_beta 111.56
_cell_angle_gamma 90.00
_symmetry_space_group_name_H-M 'P 1 2/m 1'
_symmetry_Int_Tables_number 10
loop_
_symmetry_equiv_pos_as_xyz
'x,y,z'
'-x,-y,-z'
'-x,y,-z'
'x,-y,z'
loop_
_atom_site_label
_atom_site_type_symbol
_atom_site_fract_x
_atom_site_fract_y
_atom_site_fract_z
Na1 Na 0.000 0.000 0.000
Na2 Na 0.000 0.500 0.500
Sm1 Sm 0.500 0.000 0.500
Pa1 Pa 0.500 0.500 0.000
Bi1 Bi 0.267 0.500 0.248
Bi2 Bi 0.272 0.000 0.764
```

---

LaNdErZr | PBE | relaxed

Structure (CIF):
```
data_LaNdErZr
_cell_length_a 7.861
_cell_length_b 7.861
_cell_length_c 7.861
_cell_angle_alpha 90.00
_cell_angle_beta 90.00
_cell_angle_gamma 90.00
_symmetry_space_group_name_H-M 'F -4 3 m'
_symmetry_Int_Tables_number 216
_symmetry_space_group_name_Hall 'F -4 2 3'
loop_
_atom_site_label
_atom_site_type_symbol
_atom_site_fract_x
_atom_site_fract_y
_atom_site_fract_z
La1 La 0.000 0.000 0.000
Nd1 Nd 0.000 0.000 0.500
Er1 Er 0.250 0.250 0.250
Zr1 Zr 0.250 0.250 0.750
```

---

Energy relative to the elements, respectively: -0.268, 0.199 eV/atom.
Theoretical density, respectively: 7.735, 7.406 Mg/m³.